[1]
# Mg4Ru

A geometry-optimized Mg4Ru structure (PBE, the Alexandria database).

Cell and atoms, written as POSCAR:
```
Mg4Ru
1.0
4.9567 0.0000 0.0000
0.0000 4.9567 0.0000
0.0000 0.0000 4.9567
Mg Ru
4 1
direct
0.5000 0.0000 0.5000
0.5000 0.5000 0.0000
0.0000 0.0000 0.0000
0.0000 0.5000 0.5000
0.5000 0.5000 0.5000
```

Values from the calculation:
symmetry: Pm-3m, No. 221
formation energy: 0.337 eV/atom
D(E_F): 0.575 states/eV/atom
energy: -13.97 eV/cell
distance to the lowest polymorph of the same formula: 1.694 eV/f.u.

***

[2]
# Mg4Ru

A geometry-optimized Mg4Ru structure (PBE, the Alexandria database).

Cell and atoms, written as POSCAR:
```
Mg4Ru
1.0
-4.4269 4.7992 1.1050
-4.7772 -4.5457 0.6040
-4.2229 0.0020 2.9149
Mg Ru
4 1
direct
0.6093 0.2148 0.0000
0.2148 0.3907 0.0000
0.3907 0.7852 0.0000
0.7852 0.6093 0.0000
0.0000 0.0000 0.0000
```

Values from the calculation:
symmetry: I4/m, No. 87
formation energy: -0.002 eV/atom
D(E_F): 0.503 states/eV/atom
energy: -15.66 eV/cell
distance to the lowest polymorph of the same formula: 0.000 eV/f.u.

***

[3]
# Mg5Ru3

A geometry-optimized Mg5Ru3 structure (PBE, the Alexandria database).

Cell and atoms, written as POSCAR:
```
Mg5Ru3
1.0
-5.2301 -0.0953 -5.8161
7.1795 -2.8902 -1.1440
-1.6381 -4.6827 1.5498
Mg Ru
10 6
direct
0.7531 0.9999 0.7500
0.6667 0.3334 0.0000
0.2469 0.0001 0.2500
0.6667 0.3334 0.5000
0.9999 0.7530 0.7500
0.2468 0.2468 0.7500
0.0000 0.2470 0.2500
0.3333 0.6666 0.5000
0.3333 0.6666 0.0000
0.7532 0.7533 0.2500
0.5946 0.5946 0.7500
0.0000 0.4052 0.7500
0.0001 0.5948 0.2500
0.4052 0.9999 0.7500
0.5948 0.0001 0.2500
0.4054 0.4054 0.2500
```

Values from the calculation:
symmetry: P6_3/mcm, No. 193
formation energy: 0.135 eV/atom
D(E_F): 1.020 states/eV/atom
energy: -69.44 eV/cell
distance to the lowest polymorph of the same formula: 0.262 eV/f.u.

***

[4]
# Mg2Ru3

A geometry-optimized Mg2Ru3 structure (PBE, the Alexandria database).

Cell and atoms, written as POSCAR:
```
Mg2Ru3
1.0
0.0000 4.5733 6.9242
2.6137 0.0000 6.9242
2.6137 4.5733 0.0000
Mg Ru
4 6
direct
0.3763 0.5236 0.2529
0.8472 0.2529 0.5236
0.9971 0.4028 0.8737
0.7264 0.8737 0.4028
0.2766 0.2234 0.2234
0.3274 0.4316 0.8185
0.8184 0.9226 0.8276
0.4315 0.8276 0.9226
0.0266 0.9734 0.9734
0.4224 0.8185 0.4316
```

Values from the calculation:
symmetry: Fdd2, No. 43
formation energy: 0.260 eV/atom
D(E_F): 1.270 states/eV/atom
energy: -59.44 eV/cell
distance to the lowest polymorph of the same formula: 0.565 eV/f.u.

***

[5]
# Mg3Ru4

A geometry-optimized Mg3Ru4 structure (PBE, the Alexandria database).

Cell and atoms, written as POSCAR:
```
Mg3Ru4
1.0
-0.2468 5.0306 0.6574
0.1817 -1.9425 -4.6897
-4.7795 -0.2223 -0.0931
Mg Ru
3 4
direct
0.5000 0.5000 0.0000
0.0000 0.5000 0.0000
0.5000 0.0000 0.0000
0.0000 0.0000 0.2597
0.0000 0.0000 0.7403
0.3333 0.6667 0.5000
0.6667 0.3333 0.5000
```

Values from the calculation:
symmetry: P6/mmm, No. 191
formation energy: 0.422 eV/atom
D(E_F): 0.991 states/eV/atom
energy: -38.93 eV/cell
distance to the lowest polymorph of the same formula: 2.960 eV/f.u.

***

[6]
# MgRu

A geometry-optimized MgRu structure (PBE, the Alexandria database).

Cell and atoms, written as POSCAR:
```
MgRu
1.0
-3.5461 6.3623 -2.7947
-6.9443 -3.1292 1.6876
0.1477 1.8824 4.0979
Mg Ru
8 8
direct
0.7151 0.0000 0.5000
0.2151 0.5000 0.0000
0.0000 0.2849 0.5000
0.2849 0.0000 0.5000
0.5000 0.7849 0.0000
0.0000 0.7151 0.5000
0.7849 0.5000 0.0000
0.5000 0.2151 0.0000
0.3406 0.6594 0.5000
0.3406 0.3406 0.5000
0.8406 0.8406 0.0000
0.1594 0.1594 0.0000
0.1594 0.8406 0.0000
0.6594 0.3406 0.5000
0.6594 0.6594 0.5000
0.8406 0.1594 0.0000
```

Values from the calculation:
symmetry: I4/mmm, No. 139
formation energy: 0.112 eV/atom
D(E_F): 1.007 states/eV/atom
energy: -85.18 eV/cell

***

[7]
# MgRu3

A geometry-optimized MgRu3 structure (PBE, the Alexandria database).

Cell and atoms, written as POSCAR:
```
MgRu3
1.0
4.9048 0.0000 0.0000
0.0000 4.9048 0.0000
0.0000 0.0000 4.9048
Ru Mg
6 2
direct
0.7500 0.5000 0.0000
0.0000 0.7500 0.5000
0.5000 0.0000 0.2500
0.2500 0.5000 0.0000
0.0000 0.2500 0.5000
0.5000 0.0000 0.7500
0.5000 0.5000 0.5000
0.0000 0.0000 0.0000
```

Values from the calculation:
symmetry: Pm-3n, No. 223
formation energy: 0.315 eV/atom
D(E_F): 1.599 states/eV/atom
energy: -56.32 eV/cell

***

[8]
# Mg3Ru4

A geometry-optimized Mg3Ru4 structure (PBE, the Alexandria database).

Cell and atoms, written as POSCAR:
```
Mg3Ru4
1.0
-1.6326 -7.7986 10.9600
-0.4416 -10.6865 8.3192
2.9874 9.5689 -9.1169
Ru Mg
4 3
direct
0.8712 0.8712 0.0000
0.5694 0.5694 0.0000
0.4306 0.4306 0.0000
0.1288 0.1288 0.0000
0.2995 0.2995 0.0000
0.0000 0.0000 0.0000
0.7005 0.7005 0.0000
```

Values from the calculation:
symmetry: I4/mmm, No. 139
formation energy: -0.001 eV/atom
D(E_F): 0.722 states/eV/atom
energy: -41.89 eV/cell
distance to the lowest polymorph of the same formula: 0.000 eV/f.u.

***

[9]
# Mg4Ru

A geometry-optimized Mg4Ru structure (PBE, the Alexandria database).

Cell and atoms, written as POSCAR:
```
Mg4Ru
1.0
-1.8386 1.8386 7.6081
1.8386 -1.8386 7.6081
1.8386 1.8386 -7.6081
Mg Ru
4 1
direct
0.5854 0.5854 0.0000
0.7500 0.2500 0.5000
0.2500 0.7500 0.5000
0.4146 0.4146 0.0000
0.0000 0.0000 0.0000
```

Values from the calculation:
symmetry: I4/mmm, No. 139
formation energy: 0.502 eV/atom
D(E_F): 0.747 states/eV/atom
energy: -13.14 eV/cell
distance to the lowest polymorph of the same formula: 2.521 eV/f.u.

***

[10]
# MgRu3

A geometry-optimized MgRu3 structure (PBE, the Alexandria database).

Cell and atoms, written as POSCAR:
```
MgRu3
1.0
-2.8087 2.2741 3.2525
-4.2015 -2.2909 0.8596
4.6624 -1.3760 -0.0887
Mg Ru
1 3
direct
0.2500 0.7500 0.5000
0.7500 0.2500 0.5000
0.5000 0.5000 0.0000
0.0000 0.0000 0.0000
```

Values from the calculation:
symmetry: I4/mmm, No. 139
formation energy: 0.196 eV/atom
D(E_F): 1.419 states/eV/atom
energy: -28.64 eV/cell

***

[11]
# MgRu3

A geometry-optimized MgRu3 structure (PBE, the Alexandria database).

Cell and atoms, written as POSCAR:
```
MgRu3
1.0
-3.7944 -0.2031 -2.2648
-1.6331 -3.4284 3.0435
-2.1041 3.8271 3.1820
Ru Mg
6 2
direct
0.5000 0.1412 0.2386
0.0000 0.8588 0.2614
0.5000 0.6597 0.0000
0.5000 0.1412 0.7614
0.0000 0.8588 0.7386
0.0000 0.3403 0.5000
0.0000 0.3572 0.0000
0.5000 0.6428 0.5000
```

Values from the calculation:
symmetry: Pmmn, No. 59
formation energy: 0.138 eV/atom
D(E_F): 0.913 states/eV/atom
energy: -57.74 eV/cell

***

[12]
# MgRu

A geometry-optimized MgRu structure (PBE, the Alexandria database).

Cell and atoms, written as POSCAR:
```
MgRu
1.0
7.9050 0.0000 0.0000
-3.9525 6.8460 0.0000
0.0000 0.0000 4.0861
Ru Mg
6 6
direct
0.4411 0.8822 0.2500
0.5589 0.4411 0.7500
0.5589 0.1178 0.7500
0.4411 0.5589 0.2500
0.1178 0.5589 0.2500
0.8822 0.4411 0.7500
0.3527 0.1764 0.2500
0.8236 0.6473 0.2500
0.1764 0.8236 0.7500
0.1764 0.3527 0.7500
0.6473 0.8236 0.7500
0.8236 0.1764 0.2500
```

Values from the calculation:
symmetry: P6_3/mmc, No. 194
formation energy: 0.042 eV/atom
D(E_F): 0.480 states/eV/atom
energy: -64.72 eV/cell